Below is a relaxed structure of K5SmMo4O16, with properties calculated at the PBE with a Hubbard U level.

Cell: 7.8887 6.2106 9.8017 Å, 90.00 105.59 90.00°
Closest atoms and distances in Å follow each position.
Sites, in units of the cell vectors:
K: 0.0000 0.0000 0.0000  6 O 2.86
K: 0.1550 0.5000 0.7129  2 O 2.61-2.83
K: 0.4200 0.0000 0.8145  4 O 2.69-2.96
K: 0.5800 0.0000 0.1855  4 O 2.69-2.96
K: 0.8450 0.5000 0.2871  2 O 2.61-2.83
Sm: 0.5000 0.5000 0.5000  6 O 2.35-2.36
Mo: 0.1919 0.0000 0.4078  4 O 1.76-1.84
Mo: 0.2866 0.5000 0.0973  4 O 1.78-1.85
Mo: 0.7134 0.5000 0.9027  4 O 1.78-1.85
Mo: 0.8081 0.0000 0.5922  4 O 1.76-1.84
O: 0.0424 0.0000 0.6573  1 Mo 1.79
O: 0.0939 0.5000 0.1581  1 Mo 1.78
O: 0.2749 0.0000 0.2585  1 Mo 1.76
O: 0.2806 0.2448 0.5064  1 Mo 1.84
O: 0.2806 0.7552 0.5064  1 Mo 1.84
O: 0.2905 0.2683 0.9896  1 Mo 1.79
O: 0.2905 0.7317 0.9896  1 Mo 1.79
O: 0.4775 0.5000 0.2560  1 Mo 1.85
O: 0.5225 0.5000 0.7440  1 Mo 1.85
O: 0.7095 0.2683 0.0104  1 Mo 1.79
O: 0.7095 0.7317 0.0104  1 Mo 1.79
O: 0.7194 0.2448 0.4936  1 Mo 1.84
O: 0.7194 0.7552 0.4936  1 Mo 1.84
O: 0.7251 0.0000 0.7415  1 Mo 1.76
O: 0.9061 0.5000 0.8419  1 Mo 1.78
O: 0.9576 0.0000 0.3427  1 Mo 1.79

Properties
The size of the total moment is 0.2 μB/f.u. Its volume is 462.6 Å³/cell. Its space group is P2/m, No. 10. Its electronic total energy is -170.306 eV/f.u. The crystal system is monoclinic.